No. 1
Here is a geometry-optimized Tl4AuCl structure from Alexandria. Energies are from PBE-GGA.

Unit cell a=9.0724 b=9.0724 c=9.0724 alpha=90.00 beta=90.00 gamma=90.00
Space group F-43m (No. 216)
One atom of each set of equivalent atoms:
1 Tl 0.1248 0.1248 0.1248
2 Au 0.2500 0.2500 0.7500
3 Cl 0.0000 0.0000 0.5000

VASP energy = -2.400 eV per atom
raw formation energy = 0.03 eV/atom
total moment = 0.00 μB per atom
density = 9.3 g cm⁻³
calculated volume = 31.1 Å³ per atom

***

No. 2
Here is a geometry-optimized TlAu2Cl structure from Alexandria. Energies are from PBE-GGA.

Unit cell a=7.0941 b=7.0941 c=7.0941 alpha=90.00 beta=90.00 gamma=90.00
Space group Fm-3m (No. 225)
One atom of each set of equivalent atoms:
1 Tl 0.0000 0.0000 0.0000
2 Au 0.2500 0.2500 0.2500
3 Cl 0.0000 0.0000 0.5000

VASP energy = -2.456 eV per atom
raw formation energy = 0.24 eV/atom
total moment = 0.00 μB per atom
energy relative to the lowest polymorph listed for this composition = 423 meV/atom
density = 11.8 g cm⁻³
calculated volume = 22.3 Å³ per atom

***

Which formula does entry 1 have? Tl4AuCl

***

What did the second record say?
Here is a geometry-optimized TlAu2Cl structure from Alexandria. Energies are from PBE-GGA.

Unit cell a=7.0941 b=7.0941 c=7.0941 alpha=90.00 beta=90.00 gamma=90.00
Space group Fm-3m (No. 225)
One atom of each set of equivalent atoms:
1 Tl 0.0000 0.0000 0.0000
2 Au 0.2500 0.2500 0.2500
3 Cl 0.0000 0.0000 0.5000

VASP energy = -2.456 eV per atom
raw formation energy = 0.24 eV/atom
total moment = 0.00 μB per atom
energy relative to the lowest polymorph listed for this composition = 423 meV/atom
density = 11.8 g cm⁻³
calculated volume = 22.3 Å³ per atom